1.
First-principles (PBE) data for crystalline Cd3GaHg at its relaxed geometry, as listed in Alexandria.

Computed properties:
**Energy**: -1.05 eV/atom
**ΔE_f**: 3.79 kcal/mol of atoms
**D(E_F)**: 2.3 states/eV/f.u.
**E above lowest polymorph**: 0.56 eV per formula unit

a = 5.2861 Å, b = 5.2861 Å, c = 5.2861 Å
α = 90.00°, β = 90.00°, γ = 90.00°
With the nearest neighbours (Å) after each atom.
Space group Pm-3m (No. 221)
One atom of each set of equivalent atoms:
Cd  0.0000  0.0000  0.5000 [3 per cell]  2 Ga 2.64
Ga  0.0000  0.0000  0.0000 [1 per cell]  6 Cd 2.64
Hg  0.5000  0.5000  0.5000 [1 per cell]  12 Cd 3.74


2.
First-principles (PBE) data for crystalline LiTb2Ge3Pd4 at its relaxed geometry, as listed in Alexandria.

Computed properties:
**Energy**: -5.37 eV/atom
**ΔE_f**: -18.12 kcal/mol of atoms
**D(E_F)**: 5.0 states/eV/f.u.

a = 4.2114 Å, b = 4.2114 Å, c = 10.3674 Å
α = 90.00°, β = 90.00°, γ = 90.00°
With the nearest neighbours (Å) after each atom.
Space group P-4m2 (No. 115)
One atom of each set of equivalent atoms:
Li  0.0000  0.0000  0.0000 [1 per cell]  4 Pd 2.50
Tb  0.0000  0.5000  0.7467 [2 per cell]  6 Ge 3.19-3.37, 8 Pd 3.24-3.31, 2 Li 3.37
Ge  0.0000  0.5000  0.3629 [2 per cell]  5 Pd 2.42-2.54
Ge  0.5000  0.5000  0.0000 [1 per cell]  4 Pd 2.50
Pd  0.0000  0.0000  0.5000 [1 per cell]  4 Ge 2.54
Pd  0.0000  0.5000  0.1292 [2 per cell]  3 Ge 2.42-2.50, 2 Li 2.50
Pd  0.5000  0.5000  0.5000 [1 per cell]  4 Ge 2.54


3.
First-principles (PBE) data for crystalline MnSbRu2 at its relaxed geometry, as listed in Alexandria.

Computed properties:
**Energy**: -7.80 eV/atom
**D(E_F)**: 3.8 states/eV/f.u.
**Uncorrected formation energy**: 162 meV per atom

a = 3.0179 Å, b = 3.8496 Å, c = 5.4211 Å
α = 90.00°, β = 90.00°, γ = 90.00°
With the nearest neighbours (Å) after each atom.
Space group Pmm2 (No. 25)
One atom of each set of equivalent atoms:
Mn  0.0000  0.0000  0.0000 [1 per cell]  6 Ru 2.56-2.86
Sb  0.5000  0.5000  0.6862 [1 per cell]  6 Ru 2.63-2.80
Ru  0.0000  0.0000  0.4726 [1 per cell]  2 Mn 2.56-2.86, 4 Sb 2.71
Ru  0.5000  0.5000  0.1705 [1 per cell]  4 Mn 2.61, 2 Sb 2.63-2.80


4.
First-principles (PBE) data for crystalline TlTe2S4 at its relaxed geometry, as listed in Alexandria.

Computed properties:
**Energy**: -3.62 eV/atom
**Uncorrected formation energy**: -28 meV per atom
**E above lowest polymorph**: 0.00 eV per formula unit

a = 11.9447 Å, b = 11.1012 Å, c = 8.2922 Å
α = 90.00°, β = 126.27°, γ = 90.00°
With the nearest neighbours (Å) after each atom.
Space group C2 (No. 5)
One atom of each set of equivalent atoms:
Tl  0.0000  0.0000  0.0000 [2 per cell]  4 S 3.13-3.14
Tl  0.0000  0.1237  0.5000 [2 per cell]  4 S 2.94-3.13
Te  0.0079  0.4957  0.7410 [4 per cell]  2 S 2.34-2.43
Te  0.2023  0.8114  0.7507 [4 per cell]  2 S 2.34-2.44
S  0.0084  0.8106  0.2876 [4 per cell]  1 Te 2.34
S  0.0176  0.2884  0.2387 [4 per cell]  1 Te 2.34
S  0.1785  0.5111  0.6708 [4 per cell]  1 Te 2.43
S  0.2162  0.5175  0.1418 [4 per cell]  1 Te 2.44


5.
First-principles (PBE) data for crystalline Tb6BiP2S3 at its relaxed geometry, as listed in Alexandria.

Computed properties:
**Energy**: -6.25 eV/atom
**D(E_F)**: 4.0 states/eV/f.u.
**Uncorrected formation energy**: -1675 meV per atom

a = 17.6743 Å, b = 4.0550 Å, c = 8.1631 Å
α = 90.00°, β = 102.64°, γ = 90.00°
With the nearest neighbours (Å) after each atom.
Space group C2/m (No. 12)
One atom of each set of equivalent atoms:
Tb  0.0045  0.0000  0.2757 [4 per cell]  3 S 2.74-2.91, 1 P 2.82, 2 Bi 3.02
Tb  0.1699  0.5000  0.5789 [4 per cell]  3 P 2.80-2.83, 3 S 2.92-2.93
Tb  0.1760  0.5000  0.1008 [4 per cell]  3 S 2.76-2.96, 2 P 2.82, 1 Bi 3.04
Bi  0.0000  0.5000  0.0000 [2 per cell]  6 Tb 3.02-3.04
P  0.1680  0.0000  0.3363 [4 per cell]  6 Tb 2.80-2.83
S  0.0000  0.5000  0.5000 [2 per cell]  6 Tb 2.74-2.93
S  0.1638  0.0000  0.8328 [4 per cell]  6 Tb 2.76-2.96


6.
First-principles (PBE) data for crystalline LiHgSe2 at its relaxed geometry, as listed in Alexandria.

Computed properties:
**Energy**: -2.62 eV/atom
**D(E_F)**: 1.5 states/eV/f.u.
**Uncorrected formation energy**: -328 meV per atom

a = 4.0771 Å, b = 4.1321 Å, c = 10.6028 Å
α = 90.00°, β = 90.00°, γ = 90.00°
With the nearest neighbours (Å) after each atom.
Space group Cmmm (No. 65)
One atom of each set of equivalent atoms:
Li  0.0000  0.0000  0.0000 [2 per cell]  8 Se 2.82-2.84, 4 Li 2.90
Hg  0.0000  0.0000  0.5000 [2 per cell]  4 Hg 2.90
Se  0.0000  0.5000  0.1840 [4 per cell]  4 Li 2.82-2.84, 4 Se 2.90